A geometry-optimized Li3Pa2PdSe6 structure. Source: the Alexandria database, functional PBE.

Values from the calculation:
Calculated total energy = -5.392 eV/atom
Calculated density = 6.67 g cm⁻³
Raw formation energy = -1.156 eV/atom

Cell: 4.0618 7.8301 8.9895 Å, 107.60 103.06 90.00°
With the nearest neighbours (Å) after each atom.
Fractional positions:
Se  0.3286  0.4327  0.6572  3 Li 2.80-2.88, 3 Pa 2.91-3.00
Li  0.1660  0.8098  0.3320  6 Se 2.64-2.82
Se  0.6714  0.5673  0.3428  3 Li 2.80-2.88, 3 Pa 2.91-3.00
Se  0.6699  0.0616  0.3399  3 Li 2.73-2.82, 2 Pa 2.80, 1 Pd 2.86
Pa  0.8517  0.7109  0.7033  5 Se 2.68-2.91
Se  0.9903  0.2419  0.9806  3 Li 2.64-2.83, 1 Pa 2.68, 2 Pd 2.82
Li  0.8340  0.1902  0.6680  6 Se 2.64-2.82
Pd  0.5000  0.0000  0.0000  6 Se 2.82-2.86
Se  0.0097  0.7581  0.0194  3 Li 2.64-2.83, 1 Pa 2.68, 2 Pd 2.82
Se  0.3301  0.9384  0.6601  3 Li 2.73-2.82, 2 Pa 2.80, 1 Pd 2.86
Pa  0.1483  0.2891  0.2967  5 Se 2.68-2.91
Li  0.5000  0.5000  0.0000  6 Se 2.83-2.88

A geometry-optimized LiPaSi2Pd structure. Source: the Alexandria database, functional PBE.

Values from the calculation:
Calculated total energy = -6.156 eV/atom
Calculated density = 7.93 g cm⁻³
Raw formation energy = -0.667 eV/atom

Cell: 4.0131 4.0131 5.9287 Å, 109.78 109.78 90.00°
With the nearest neighbours (Å) after each atom.
Fractional positions:
Si  0.6111  0.6111  0.2222  1 Si 2.31, 2 Pd 2.47, 2 Li 2.47
Pd  0.7500  0.2500  0.5000  4 Si 2.47
Si  0.3889  0.3889  0.7778  1 Si 2.31, 2 Li 2.47, 2 Pd 2.47
Li  0.2500  0.7500  0.5000  4 Si 2.47
Pa  0.0000  0.0000  0.0000  8 Si 3.06, 4 Pd 3.29, 4 Li 3.29

- Which of these has the lowest calculated density?
  Li3Pa2PdSe6